# 1
Compound: Pm6Sm2Tm3Mg
Source: Alexandria
Functional: PBE
Structure: optimized geometry

**ΔH_f (0 K)**: 0.02 eV/atom

Cell and atoms, written as POSCAR:
```
Pm6Sm2Tm3Mg
1.0
3.098 -5.372 0.000
3.098 5.372 0.000
-2.074 0.000 11.596
Pm Sm Tm Mg
6 2 3 1
direct
0.084 0.415 0.752 Pm
0.248 0.248 0.247 Pm
0.415 0.084 0.752 Pm
0.585 0.916 0.248 Pm
0.752 0.752 0.753 Pm
0.916 0.585 0.248 Pm
0.333 0.667 0.500 Sm
0.667 0.333 0.500 Sm
0.166 0.834 0.000 Tm
0.500 0.500 0.000 Tm
0.834 0.166 0.000 Tm
0.000 0.000 0.500 Mg
```



# 2
Compound: DyMgTlCd
Source: Alexandria
Functional: PBE
Structure: optimized geometry

**ΔH_f (0 K)**: -0.27 eV/atom

Cell and atoms, written as POSCAR:
```
DyMgTlCd
1.0
0.000 3.665 3.665
3.665 0.000 3.665
3.665 3.665 0.000
Dy Mg Tl Cd
1 1 1 1
direct
0.000 0.000 0.000 Dy
0.500 0.500 0.500 Mg
0.750 0.750 0.750 Tl
0.250 0.250 0.250 Cd
```



# 3
Compound: Ac2Mg9Cd6
Source: Alexandria
Functional: PBE
Structure: optimized geometry

**ΔH_f (0 K)**: -0.07 eV/atom

Cell and atoms, written as POSCAR:
```
Ac2Mg9Cd6
1.0
6.096 0.000 0.000
-3.048 5.279 0.000
0.000 0.000 14.647
Ac Mg Cd
2 9 6
direct
0.000 0.000 0.154 Ac
0.000 0.000 0.846 Ac
0.000 0.500 0.000 Mg
0.000 0.500 0.336 Mg
0.000 0.500 0.664 Mg
0.500 0.000 0.000 Mg
0.500 0.000 0.336 Mg
0.500 0.000 0.664 Mg
0.500 0.500 0.000 Mg
0.500 0.500 0.336 Mg
0.500 0.500 0.664 Mg
0.333 0.667 0.168 Cd
0.333 0.667 0.500 Cd
0.333 0.667 0.832 Cd
0.667 0.333 0.168 Cd
0.667 0.333 0.500 Cd
0.667 0.333 0.832 Cd
```



# 4
Compound: CsTa3Ru
Source: Alexandria
Functional: PBE
Structure: optimized geometry

**ΔH_f (0 K)**: 1.50 eV/atom
**Relative energy among the computed polymorphs**: 0.0 meV per atom

Cell and atoms, written as POSCAR:
```
CsTa3Ru
1.0
4.988 0.000 0.000
0.000 4.988 0.000
0.000 0.000 4.988
Cs Ta Ru
1 3 1
direct
0.000 0.000 0.000 Cs
0.000 0.500 0.500 Ta
0.500 0.000 0.500 Ta
0.500 0.500 0.000 Ta
0.500 0.500 0.500 Ru
```



# 5
Compound: Dy2RhPb
Source: Alexandria
Functional: PBE
Structure: optimized geometry

**ΔH_f (0 K)**: -0.52 eV/atom
**Relative energy among the computed polymorphs**: 167.0 meV per atom

Cell and atoms, written as POSCAR:
```
Dy2RhPb
1.0
0.000 3.639 3.639
3.639 0.000 3.639
3.639 3.639 0.000
Dy Rh Pb
2 1 1
direct
0.250 0.250 0.250 Dy
0.750 0.750 0.750 Dy
0.000 0.000 0.000 Rh
0.500 0.500 0.500 Pb
```